[1]
! Sr2MnHg (GGA-PBE, optimized geometry); values from VASP
! - formation energy from the elements (eV per atom) = 0.358
! - E (eV per atom) = -2.851
! - space-group type = No. 122
! - theoretical density (g cm⁻³) = 5.04
&SYSTEM
  ibrav = 0, nat = 8, ntyp = 3
/
ATOMIC_SPECIES
Sr 87.62 Sr.upf
Mn 54.94 Mn.upf
Hg 200.59 Hg.upf
CELL_PARAMETERS angstrom
-4.389 4.389 3.685
4.389 -4.389 3.685
4.389 4.389 -3.685
ATOMIC_POSITIONS crystal
Sr 0.120 0.625 0.995
Sr 0.375 0.370 0.495
Sr 0.630 0.125 0.005
Sr 0.875 0.880 0.505
Mn 0.250 0.750 0.500
Mn 0.500 0.500 0.000
Hg 0.000 0.000 0.000
Hg 0.750 0.250 0.500


[2]
! Li2TaIn (GGA-PBE, optimized geometry); values from VASP
! - formation energy from the elements (eV per atom) = 0.143
! - E (eV per atom) = -4.462
! - space-group type = No. 35
! - theoretical density (g cm⁻³) = 7.23
&SYSTEM
  ibrav = 0, nat = 4, ntyp = 3
/
ATOMIC_SPECIES
Li 6.94 Li.upf
Ta 180.95 Ta.upf
In 114.82 In.upf
CELL_PARAMETERS angstrom
2.088 -2.095 0.000
2.088 2.095 0.000
0.000 0.000 8.127
ATOMIC_POSITIONS crystal
Li 0.000 0.000 0.000
Li 0.500 0.500 0.226
Ta 0.500 0.500 0.746
In 0.000 0.000 0.469


[3]
! SrOs2PtAu (GGA-PBE, optimized geometry); values from VASP
! - formation energy from the elements (eV per atom) = 1.432
! - E (eV per atom) = -5.260
! - space-group type = No. 123
! - theoretical density (g cm⁻³) = 11.06
&SYSTEM
  ibrav = 0, nat = 5, ntyp = 4
/
ATOMIC_SPECIES
Sr 87.62 Sr.upf
Os 190.23 Os.upf
Pt 195.08 Pt.upf
Au 196.97 Au.upf
CELL_PARAMETERS angstrom
4.789 0.000 0.000
0.000 4.789 0.000
0.000 0.000 5.633
ATOMIC_POSITIONS crystal
Sr 0.000 0.000 0.000
Os 0.000 0.500 0.500
Os 0.500 0.000 0.500
Pt 0.000 0.000 0.500
Au 0.500 0.500 0.000


[4]
! K2Rb6HgPt (GGA-PBE, optimized geometry); values from VASP
! - formation energy from the elements (eV per atom) = -0.007
! - E (eV per atom) = -1.441
! - space-group type = No. 8
! - theoretical density (g cm⁻³) = 2.42
&SYSTEM
  ibrav = 0, nat = 10, ntyp = 4
/
ATOMIC_SPECIES
K 39.10 K.upf
Rb 85.47 Rb.upf
Hg 200.59 Hg.upf
Pt 195.08 Pt.upf
CELL_PARAMETERS angstrom
6.968 -6.967 0.000
6.968 6.967 0.000
-6.950 0.000 6.973
ATOMIC_POSITIONS crystal
K 0.250 0.750 0.000
K 0.750 0.250 0.000
Rb 0.232 0.232 0.500
Rb 0.232 0.232 0.968
Rb 0.233 0.765 0.500
Rb 0.764 0.764 0.500
Rb 0.765 0.233 0.500
Rb 0.765 0.765 0.032
Hg 0.498 0.498 0.500
Pt 0.998 0.998 0.500


[5]
! Rb4Ac3PrTe8 (GGA-PBE, optimized geometry); values from VASP
! - E (eV per atom) = -4.352
! - space-group type = No. 166
! - theoretical density (g cm⁻³) = 5.22
! - ΔE_f (raw) (eV/atom) = -1.471
&SYSTEM
  ibrav = 0, nat = 16, ntyp = 4
/
ATOMIC_SPECIES
Rb 85.47 Rb.upf
Ac 227.00 Ac.upf
Pr 140.91 Pr.upf
Te 127.60 Te.upf
CELL_PARAMETERS angstrom
4.830 2.788 8.597
-4.830 2.788 8.597
0.000 -5.577 8.597
ATOMIC_POSITIONS crystal
Rb 0.000 0.000 0.000
Rb 0.000 0.500 0.500
Rb 0.500 0.000 0.500
Rb 0.500 0.500 0.000
Ac 0.000 0.000 0.500
Ac 0.000 0.500 0.000
Ac 0.500 0.000 0.000
Pr 0.500 0.500 0.500
Te 0.238 0.238 0.238
Te 0.245 0.732 0.732
Te 0.268 0.268 0.755
Te 0.268 0.755 0.268
Te 0.732 0.245 0.732
Te 0.732 0.732 0.245
Te 0.755 0.268 0.268
Te 0.762 0.762 0.762


[6]
! Ba2Ga3As (GGA-PBE, optimized geometry); values from VASP
! - formation energy from the elements (eV per atom) = -0.594
! - E (eV per atom) = -3.523
! - space-group type = No. 25
! - theoretical density (g cm⁻³) = 5.37
&SYSTEM
  ibrav = 0, nat = 6, ntyp = 3
/
ATOMIC_SPECIES
Ba 137.33 Ba.upf
Ga 69.72 Ga.upf
As 74.92 As.upf
CELL_PARAMETERS angstrom
4.510 0.000 0.000
0.000 5.048 0.000
0.000 0.000 7.589
ATOMIC_POSITIONS crystal
Ba 0.000 0.000 0.000
Ba 0.500 0.000 0.480
Ga 0.000 0.500 0.333
Ga 0.000 0.500 0.667
Ga 0.500 0.500 0.813
As 0.500 0.500 0.156


[7]
! PbSeI2F (GGA-PBE, optimized geometry); values from VASP
! - E (eV per atom) = -2.610
! - space-group type = No. 123
! - theoretical density (g cm⁻³) = 6.29
! - ΔE_f (raw) (eV/atom) = -0.177
&SYSTEM
  ibrav = 0, nat = 5, ntyp = 4
/
ATOMIC_SPECIES
Pb 207.20 Pb.upf
Se 78.96 Se.upf
I 126.90 I.upf
F 19.00 F.upf
CELL_PARAMETERS angstrom
6.035 0.000 0.000
0.000 6.035 0.000
0.000 0.000 4.053
ATOMIC_POSITIONS crystal
Pb 0.000 0.000 0.000
Se 0.500 0.500 0.000
I 0.000 0.500 0.500
I 0.500 0.000 0.500
F 0.500 0.500 0.500


[8]
! Tm8ZnPt2 (GGA-PBE, optimized geometry); values from VASP
! - formation energy from the elements (eV per atom) = -0.462
! - E (eV per atom) = -4.929
! - space-group type = No. 8
! - theoretical density (g cm⁻³) = 10.25
&SYSTEM
  ibrav = 0, nat = 11, ntyp = 3
/
ATOMIC_SPECIES
Tm 168.93 Tm.upf
Zn 65.41 Zn.upf
Pt 195.08 Pt.upf
CELL_PARAMETERS angstrom
4.258 -6.560 0.000
4.258 6.560 0.000
-1.452 0.000 5.242
ATOMIC_POSITIONS crystal
Tm 0.000 0.000 0.000
Tm 0.048 0.301 0.604
Tm 0.144 0.615 0.192
Tm 0.301 0.048 0.604
Tm 0.456 0.710 0.785
Tm 0.615 0.144 0.192
Tm 0.710 0.456 0.785
Tm 0.755 0.755 0.383
Zn 0.380 0.380 0.155
Pt 0.072 0.685 0.692
Pt 0.685 0.072 0.692


[9]
! SrEu2Sb (GGA-PBE, optimized geometry); values from VASP
! - E (eV per atom) = -6.908
! - space-group type = No. 225
! - theoretical density (g cm⁻³) = 6.21
! - ΔE_f (raw) (eV/atom) = -0.320
&SYSTEM
  ibrav = 0, nat = 4, ntyp = 3
/
ATOMIC_SPECIES
Sr 87.62 Sr.upf
Eu 151.96 Eu.upf
Sb 121.76 Sb.upf
CELL_PARAMETERS angstrom
0.000 4.094 4.094
4.094 0.000 4.094
4.094 4.094 0.000
ATOMIC_POSITIONS crystal
Sr 0.000 0.000 0.000
Eu 0.250 0.250 0.250
Eu 0.750 0.750 0.750
Sb 0.500 0.500 0.500


[10]
! Ca2Al6IrPt (GGA-PBE, optimized geometry); values from VASP
! - formation energy from the elements (eV per atom) = -0.358
! - E (eV per atom) = -4.494
! - space-group type = No. 71
! - theoretical density (g cm⁻³) = 4.73
&SYSTEM
  ibrav = 0, nat = 10, ntyp = 4
/
ATOMIC_SPECIES
Ca 40.08 Ca.upf
Al 26.98 Al.upf
Ir 192.22 Ir.upf
Pt 195.08 Pt.upf
CELL_PARAMETERS angstrom
-3.389 3.398 4.800
3.389 -3.398 4.800
3.389 3.398 -4.800
ATOMIC_POSITIONS crystal
Ca 0.250 0.250 0.000
Ca 0.750 0.750 0.000
Al 0.251 0.249 0.500
Al 0.251 0.751 0.003
Al 0.251 0.751 0.500
Al 0.749 0.249 0.500
Al 0.749 0.249 0.997
Al 0.749 0.751 0.500
Ir 0.500 0.000 0.500
Pt 0.000 0.500 0.500


[11]
! HfPaTe (GGA-PBE, optimized geometry); values from VASP
! - E (eV per atom) = -7.793
! - space-group type = No. 107
! - theoretical density (g cm⁻³) = 11.98
! - ΔE_f (raw) (eV/atom) = -0.262
&SYSTEM
  ibrav = 0, nat = 3, ntyp = 3
/
ATOMIC_SPECIES
Hf 178.49 Hf.upf
Pa 231.04 Pa.upf
Te 127.60 Te.upf
CELL_PARAMETERS angstrom
-1.777 1.777 5.896
1.777 -1.777 5.896
1.777 1.777 -5.896
ATOMIC_POSITIONS crystal
Hf 0.000 0.000 0.000
Pa 0.681 0.681 0.000
Te 0.367 0.367 0.000


[12]
! Li2ZnNi (GGA-PBE, optimized geometry); values from VASP
! - formation energy from the elements (eV per atom) = -0.076
! - E (eV per atom) = -2.797
! - space-group type = No. 166
! - theoretical density (g cm⁻³) = 4.40
&SYSTEM
  ibrav = 0, nat = 4, ntyp = 3
/
ATOMIC_SPECIES
Li 6.94 Li.upf
Zn 65.41 Zn.upf
Ni 58.69 Ni.upf
CELL_PARAMETERS angstrom
1.302 0.752 8.852
-1.302 0.752 8.852
0.000 -1.504 8.852
ATOMIC_POSITIONS crystal
Li 0.244 0.244 0.244
Li 0.756 0.756 0.756
Zn 0.000 0.000 0.000
Ni 0.500 0.500 0.500